[1]
Here is a geometry-optimized Dy5Al structure from the Alexandria database. Energies are from PBE. Values from VASP.

Structure (Quantum ESPRESSO input):
```
&SYSTEM
  ibrav = 0, nat = 6, ntyp = 2
/
ATOMIC_SPECIES
Al 26.98 Al.upf
Dy 162.50 Dy.upf
CELL_PARAMETERS angstrom
-0.376 -3.389 -1.406
5.858 -2.117 -1.303
3.134 -4.926 6.199
ATOMIC_POSITIONS angstrom
Al 0.000 0.000 0.000
Dy 7.614 -7.762 2.160
Dy 5.056 -6.346 4.270
Dy 4.496 -3.522 2.448
Dy 3.561 -4.086 -0.779
Dy 1.002 -2.670 1.331
```



[2]
Here is a geometry-optimized AlSn2Hg2 structure from the Alexandria database. Energies are from PBE. Values from VASP.

Structure (Quantum ESPRESSO input):
```
&SYSTEM
  ibrav = 0, nat = 5, ntyp = 3
/
ATOMIC_SPECIES
Hg 200.59 Hg.upf
Sn 118.71 Sn.upf
Al 26.98 Al.upf
CELL_PARAMETERS angstrom
4.251 0.000 0.000
0.000 4.251 0.000
2.126 2.126 7.680
ATOMIC_POSITIONS angstrom
Hg 2.126 2.126 1.426
Hg 4.251 4.251 6.254
Sn 2.126 4.251 3.840
Sn 4.251 2.126 3.840
Al 0.000 0.000 0.000
```



[3]
Here is a geometry-optimized LiNbIn2 structure from the Alexandria database. Energies are from PBE. Values from VASP.

Structure (Quantum ESPRESSO input):
```
&SYSTEM
  ibrav = 0, nat = 4, ntyp = 3
/
ATOMIC_SPECIES
Li 6.94 Li.upf
Nb 92.91 Nb.upf
In 114.82 In.upf
CELL_PARAMETERS angstrom
-0.121 -1.847 -2.504
-1.740 -2.582 0.052
-8.226 3.581 -4.180
ATOMIC_POSITIONS angstrom
Li 0.000 0.000 0.000
Nb -5.044 -0.424 -3.316
In -2.498 -0.228 -1.648
In -7.589 -0.620 -4.984
```



[4]
Here is a geometry-optimized Ti2TlNiP structure from the Alexandria database. Energies are from PBE. Values from VASP.

Structure (Quantum ESPRESSO input):
```
&SYSTEM
  ibrav = 0, nat = 5, ntyp = 4
/
ATOMIC_SPECIES
Ti 47.87 Ti.upf
P 30.97 P.upf
Tl 204.38 Tl.upf
Ni 58.69 Ni.upf
CELL_PARAMETERS angstrom
5.120 0.000 0.000
0.000 4.887 0.000
0.000 0.000 5.120
ATOMIC_POSITIONS angstrom
Ti 0.000 0.000 2.560
Ti 2.560 0.000 0.000
P 0.000 2.444 0.000
Tl 0.000 0.000 0.000
Ni 2.560 2.444 2.560
```



[5]
Here is a geometry-optimized CrOs5 structure from the Alexandria database. Energies are from PBE. Values from VASP.

Structure (Quantum ESPRESSO input):
```
&SYSTEM
  ibrav = 0, nat = 6, ntyp = 2
/
ATOMIC_SPECIES
Cr 52.00 Cr.upf
Os 190.23 Os.upf
CELL_PARAMETERS angstrom
4.732 0.000 0.000
-2.366 4.098 0.000
0.000 0.000 4.309
ATOMIC_POSITIONS angstrom
Cr 1.577 0.000 2.155
Os 2.355 1.347 0.000
Os 0.022 0.000 0.000
Os -0.789 1.366 2.155
Os 1.577 2.732 2.155
Os -0.011 2.751 0.000
```



[6]
Here is a geometry-optimized SmDy2Be structure from the Alexandria database. Energies are from PBE. Values from VASP.

Structure (Quantum ESPRESSO input):
```
&SYSTEM
  ibrav = 0, nat = 4, ntyp = 3
/
ATOMIC_SPECIES
Sm 150.36 Sm.upf
Be 9.01 Be.upf
Dy 162.50 Dy.upf
CELL_PARAMETERS angstrom
3.472 0.000 0.000
0.000 3.472 0.000
0.000 0.000 8.656
ATOMIC_POSITIONS angstrom
Sm 1.736 1.736 4.328
Be 1.736 1.736 0.000
Dy 0.000 0.000 7.004
Dy 0.000 0.000 1.653
```



Results for magnetic moment: 0.00 0.00 0.00 0.53 0.00 0.00 (in μB per formula unit, following the order of the records).
Results for ΔE_f: -104 293 11 1763 -13 71 (in meV/atom, following the order of the records).